No. 1
Below is a relaxed Ca4HN2 crystal, with properties calculated at the GGA-PBE level.

Results
Calculated volume in Å³/atom: 17.1
Raw total energy in eV/f.u.: -30.02
Polymorph energy (0 for the lowest one) in eV per formula unit: 3.27

abc: 4.2768 4.2768 13.0502
angles: 90.00 90.00 90.00
Space group I4/mmm (No. 139)
One atom of each set of equivalent atoms:
Ca 0.0000 0.0000 0.2041 (multiplicity 4)
Ca 0.0000 0.5000 0.0000 (multiplicity 4)
H 0.0000 0.0000 0.0000 (multiplicity 2)
N 0.0000 0.0000 0.3763 (multiplicity 4)

=====

No. 2
Below is a relaxed Ca4HN2 crystal, with properties calculated at the GGA-PBE level.

Results
Calculated volume in Å³/atom: 19.3
Raw total energy in eV/f.u.: -33.29
Polymorph energy (0 for the lowest one) in eV per formula unit: 0.00

abc: 6.2710 3.5760 6.3704
angles: 90.00 108.57 90.00
Space group P2/m (No. 10)
One atom of each set of equivalent atoms:
Ca 0.2306 0.0000 0.2043 (multiplicity 2)
Ca 0.2636 0.5000 0.7896 (multiplicity 2)
H 0.0000 0.0000 0.5000 (multiplicity 1)
N 0.0000 0.5000 0.0000 (multiplicity 1)
N 0.5000 0.0000 0.0000 (multiplicity 1)

=====

No. 3
Below is a relaxed CaHN crystal, with properties calculated at the GGA-PBE level.

Results
Calculated volume in Å³/atom: 12.0
Raw total energy in eV/f.u.: -15.94
Polymorph energy (0 for the lowest one) in eV per formula unit: 0.14

abc: 3.5494 3.5494 5.7069
angles: 90.00 90.00 90.00
Space group I4mm (No. 107)
One atom of each set of equivalent atoms:
Ca 0.0000 0.0000 0.0000 (multiplicity 2)
H 0.0000 0.0000 0.4145 (multiplicity 2)
N 0.0000 0.0000 0.5961 (multiplicity 2)

=====

No. 4
Below is a relaxed CaHN crystal, with properties calculated at the GGA-PBE level.

Results
Calculated volume in Å³/atom: 10.1
Raw total energy in eV/f.u.: -14.76
Polymorph energy (0 for the lowest one) in eV per formula unit: 1.32

abc: 2.8498 6.5370 6.4911
angles: 90.00 90.00 90.00
Space group Cmcm (No. 63)
One atom of each set of equivalent atoms:
Ca 0.0000 0.0000 0.0000 (multiplicity 4)
H 0.0000 0.2392 0.2500 (multiplicity 4)
N 0.0000 0.3000 0.7500 (multiplicity 4)

=====

No. 5
Below is a relaxed Ca8H2N3 crystal, with properties calculated at the GGA-PBE level.

Results
Calculated volume in Å³/atom: 21.2
Raw total energy in eV/f.u.: -55.98

abc: 12.6618 7.2785 6.2997
angles: 90.00 108.26 90.00
Space group C2/m (No. 12)
One atom of each set of equivalent atoms:
Ca 0.1094 0.0000 0.2402 (multiplicity 4)
Ca 0.1097 0.2337 0.7456 (multiplicity 8)
Ca 0.1119 0.5000 0.2139 (multiplicity 4)
H 0.2435 0.0000 0.9815 (multiplicity 4)
N 0.0000 0.0000 0.5000 (multiplicity 2)
N 0.0000 0.2531 0.0000 (multiplicity 4)

=====

No. 6
Below is a relaxed Ca2H6N crystal, with properties calculated at the GGA-PBE level.

Results
Calculated volume in Å³/atom: 9.0
Raw total energy in eV/f.u.: -29.14

abc: 6.8627 6.8627 6.8627
angles: 90.00 90.00 90.00
Space group Fm-3m (No. 225)
One atom of each set of equivalent atoms:
Ca 0.2500 0.2500 0.2500 (multiplicity 8)
H 0.0000 0.0000 0.2464 (multiplicity 24)
N 0.0000 0.0000 0.0000 (multiplicity 4)

=====

no.,M_tot (μB/atom)
1,0.000
2,0.000
3,0.000
4,0.000
5,0.063
6,0.000